[1]
A relaxed structure of SnBi12Ir4. Source: Alexandria via LeMat-Bulk, functional PBE.

Cell: 8.539 8.539 8.539 Å, 109.47 109.47 109.47°
Positions (direct):
Sn (0.000, 0.000, 0.000)
Bi (0.843, 0.332, 0.175)
Bi (0.332, 0.489, 0.157)
Bi (0.825, 0.157, 0.668)
Bi (0.332, 0.175, 0.843)
Bi (0.175, 0.843, 0.332)
Bi (0.668, 0.511, 0.843)
Bi (0.489, 0.157, 0.332)
Bi (0.511, 0.843, 0.668)
Bi (0.668, 0.825, 0.157)
Bi (0.843, 0.668, 0.511)
Bi (0.157, 0.332, 0.489)
Bi (0.157, 0.668, 0.825)
Ir (0.000, 0.500, 0.000)
Ir (0.500, 0.000, 0.000)
Ir (0.500, 0.500, 0.500)
Ir (0.000, 0.000, 0.500)

Summary:
Energy relative to the elements = 0 meV/atom
Space group = Im-3



[2]
A relaxed structure of In2WBr. Source: Alexandria via LeMat-Bulk, functional PBE.

Cell: 3.238 3.238 10.833 Å, 90.00 90.00 122.25°
Site moments in Bohr magnetons follow the coordinates.
Positions (direct):
Br (0.500, 0.500, 0.692)  0.02
W (0.000, 0.000, 0.505)  0.58
In (0.000, 0.000, 0.022)  0.00
In (0.500, 0.500, 0.281)  0.00

Summary:
Energy above the most stable polymorph in this dataset = 0.54 eV per formula unit
Space group = Cmm2



[3]
A relaxed structure of MgAlI2N. Source: Alexandria via LeMat-Bulk, functional PBE.

Cell: 5.794 5.794 3.593 Å, 90.00 90.00 90.00°
Positions (direct):
I (0.000, 0.500, 0.000)
I (0.500, 0.000, 0.000)
Mg (0.500, 0.500, 0.500)
Al (0.000, 0.000, 0.000)
N (0.000, 0.000, 0.500)

Summary:
Energy above the most stable polymorph in this dataset = 0.00 eV per formula unit
Space group = P4/mmm



[4]
A relaxed structure of ErScCdRu. Source: Alexandria via LeMat-Bulk, functional PBE.

Cell: 4.874 4.874 4.874 Å, 60.00 60.00 60.00°
Positions (direct):
Sc (0.500, 0.500, 0.500)
Ru (0.750, 0.750, 0.750)
Cd (0.250, 0.250, 0.250)
Er (0.000, 0.000, 0.000)

Summary:
Energy relative to the elements = -333 meV/atom
Energy above the most stable polymorph in this dataset = 0.55 eV per formula unit
Space group = F-43m



[5]
A relaxed structure of ZrRe2P. Source: Alexandria via LeMat-Bulk, functional PBE.

Cell: 4.327 4.327 3.315 Å, 90.00 90.00 90.00°
Positions (direct):
Zr (0.500, 0.500, 0.500)
Re (0.500, 0.000, 0.000)
Re (0.000, 0.500, 0.000)
P (0.000, 0.000, 0.500)

Summary:
Energy relative to the elements = 63 meV/atom
Space group = P4/mmm



[6]
A relaxed structure of La2NdSb. Source: Alexandria via LeMat-Bulk, functional PBE.

Cell: 4.680 4.653 12.342 Å, 90.00 101.02 90.00°
Positions (direct):
La (0.578, 0.250, 0.140)
La (0.422, 0.750, 0.860)
La (0.043, 0.750, 0.123)
La (0.957, 0.250, 0.877)
Nd (0.698, 0.750, 0.394)
Nd (0.302, 0.250, 0.606)
Sb (0.173, 0.250, 0.341)
Sb (0.827, 0.750, 0.659)

Summary:
Energy above the most stable polymorph in this dataset = 0.09 eV per formula unit
Space group = P2_1/m



[7]
A relaxed structure of CsAl2SnS6. Source: Alexandria via LeMat-Bulk, functional PBE.

Cell: 7.370 9.571 9.571 Å, 101.82 76.86 76.86°
Site moments in Bohr magnetons follow the coordinates.
Positions (direct):
Cs (0.250, 0.902, 0.098)  0.00
Cs (0.750, 0.098, 0.902)  0.00
Al (0.420, 0.746, 0.584)  0.00
Al (0.080, 0.416, 0.254)  0.00
Al (0.580, 0.254, 0.416)  0.00
Al (0.920, 0.584, 0.746)  0.00
Sn (0.250, 0.222, 0.778)  0.02
Sn (0.750, 0.778, 0.222)  0.02
S (0.243, 0.960, 0.755)  0.02
S (0.257, 0.245, 0.040)  0.02
S (0.757, 0.040, 0.245)  0.02
S (0.743, 0.755, 0.960)  0.02
S (0.440, 0.757, 0.348)  0.01
S (0.060, 0.652, 0.243)  0.01
S (0.560, 0.243, 0.652)  0.01
S (0.940, 0.348, 0.757)  0.01
S (0.232, 0.590, 0.648)  0.28
S (0.268, 0.352, 0.410)  0.28
S (0.768, 0.410, 0.352)  0.28
S (0.732, 0.648, 0.590)  0.28

Summary:
Space group = C2/c



[8]
A relaxed structure of Re2SiBr. Source: Alexandria via LeMat-Bulk, functional PBE.

Cell: 2.787 2.787 10.434 Å, 90.00 90.00 117.00°
Positions (direct):
Br (0.500, 0.500, 0.776)
Re (0.000, 0.000, 0.034)
Re (0.500, 0.500, 0.239)
Si (0.000, 0.000, 0.451)

Summary:
Energy above the most stable polymorph in this dataset = 1.68 eV per formula unit
Space group = Cmm2



[9]
A relaxed structure of Ir2Os2Rh. Source: Alexandria via LeMat-Bulk, functional PBE.

Cell: 2.742 2.742 11.057 Å, 90.00 90.00 120.00°
Positions (direct):
Ir (0.667, 0.333, 0.705)
Ir (0.333, 0.667, 0.295)
Os (0.333, 0.667, 0.904)
Os (0.667, 0.333, 0.096)
Rh (0.000, 0.000, 0.500)

Summary:
Energy relative to the elements = -21 meV/atom
Energy above the most stable polymorph in this dataset = 0.00 eV per formula unit
Space group = P-3m1



[10]
A relaxed structure of In2CoSb. Source: Alexandria via LeMat-Bulk, functional PBE.

Cell: 8.491 8.491 8.491 Å, 24.17 24.17 24.17°
Positions (direct):
Co (0.754, 0.754, 0.754)
In (0.018, 0.018, 0.018)
In (0.250, 0.250, 0.250)
Sb (0.478, 0.478, 0.478)

Summary:
Space group = R3m



[11]
A relaxed structure of LaTi2VRh. Source: Alexandria via LeMat-Bulk, functional PBE.

Cell: 4.768 5.541 4.768 Å, 90.00 90.00 90.00°
Site moments in Bohr magnetons follow the coordinates.
Positions (direct):
Ti (0.000, 0.000, 0.500)  -0.44
Ti (0.500, 0.000, 0.000)  -0.88
V (0.500, 0.500, 0.500)  2.87
Rh (0.000, 0.000, 0.000)  0.13
La (0.000, 0.500, 0.000)  0.07

Summary:
Energy relative to the elements = 568 meV/atom
Space group = P4/mmm



[12]
A relaxed structure of GeBW2. Source: Alexandria via LeMat-Bulk, functional PBE.

Cell: 4.227 4.227 4.227 Å, 60.00 60.00 60.00°
Positions (direct):
Ge (0.500, 0.500, 0.500)
B (0.000, 0.000, 0.000)
W (0.250, 0.250, 0.250)
W (0.750, 0.750, 0.750)

Summary:
Energy relative to the elements = 615 meV/atom
Energy above the most stable polymorph in this dataset = 0.00 eV per formula unit
Space group = Fm-3m



no.,total energy (eV/cell),V (Å³/cell)
1,-86.01,479.3
2,-18.12,96.0
3,-16.85,120.6
4,-22.42,81.9
5,-38.60,62.1
6,-42.14,263.8
7,-88.22,616.3
8,-29.17,72.2
9,-47.64,72.0
10,-16.26,90.2
11,-34.35,125.9
12,-34.74,53.4